Record 1
DFT (GGA-PBEsol) results for an optimized crystal structure of EuI2.

CIF file:
```
data_EuI2
_chemical_formula_sum 'Eu4 I8'
_space_group_name_H-M_alt 'P n m a'
_space_group_IT_number 62
_cell_length_a 12.046
_cell_length_b 4.737
_cell_length_c 8.220
_cell_angle_alpha 90.00
_cell_angle_beta 90.00
_cell_angle_gamma 90.00
loop_
_space_group_symop_operation_xyz
'x,y,z'
'-x,-y,-z'
'-x+1/2,-y,z+1/2'
'x+1/2,y,-z+1/2'
'x+1/2,-y+1/2,-z+1/2'
'-x+1/2,y+1/2,z+1/2'
'-x,y+1/2,-z'
'x,-y+1/2,z'
loop_
_atom_site_label
_atom_site_fract_x
_atom_site_fract_y
_atom_site_fract_z
_atom_site_occupancy
Eu1 0.173 0.250 0.127 1
I1 0.106 0.750 0.870 1
I2 0.119 0.750 0.380 1
```

Output
ΔE_f (raw), eV per atom: -1.594

Record 2
DFT (GGA-PBEsol) results for an optimized crystal structure of EuI3O9.

CIF file:
```
data_EuI3O9
_chemical_formula_sum 'Eu4 I12 O36'
_space_group_name_H-M_alt 'P 1 21/c 1'
_space_group_IT_number 14
_cell_length_a 8.744
_cell_length_b 5.771
_cell_length_c 16.419
_cell_angle_alpha 90.00
_cell_angle_beta 114.95
_cell_angle_gamma 90.00
loop_
_space_group_symop_operation_xyz
'x,y,z'
'-x,-y,-z'
'-x,y+1/2,-z+1/2'
'x,-y+1/2,z+1/2'
loop_
_atom_site_label
_atom_site_fract_x
_atom_site_fract_y
_atom_site_fract_z
_atom_site_occupancy
Eu1 0.137 0.236 0.097 1
I1 0.070 0.186 0.347 1
I2 0.362 0.646 0.522 1
I3 0.414 0.599 0.797 1
O1 0.062 0.064 0.710 1
O2 0.088 0.073 0.456 1
O3 0.109 0.615 0.674 1
O4 0.133 0.577 0.487 1
O5 0.326 0.597 0.881 1
O6 0.345 0.194 0.255 1
O7 0.365 0.100 0.947 1
O8 0.369 0.503 0.130 1
O9 0.406 0.028 0.124 1
```

Output
ΔE_f (raw), eV per atom: -0.898

Record 3
DFT (GGA-PBEsol) results for an optimized crystal structure of Eu4I6O.

CIF file:
```
data_Eu4I6O
_chemical_formula_sum 'Eu8 I12 O2'
_space_group_name_H-M_alt 'P 63 m c'
_space_group_IT_number 186
_space_group_name_Hall 'P 6c -2c'
_cell_length_a 10.1931
_cell_length_b 10.1931
_cell_length_c 7.8769
_cell_angle_alpha 90.00
_cell_angle_beta 90.00
_cell_angle_gamma 120.00
loop_
_atom_site_label
_atom_site_fract_x
_atom_site_fract_y
_atom_site_fract_z
_atom_site_occupancy
Eu1 0.2065 0.4129 0.0000 1
Eu2 0.3333 0.6667 0.3894 1
I1 0.0703 0.5351 0.6937 1
I2 0.1354 0.2707 0.3776 1
O1 0.3333 0.6667 0.0928 1
```

Output
ΔE_f (raw), eV per atom: -1.856

Record 4
DFT (GGA-PBEsol) results for an optimized crystal structure of EuIO.

CIF file:
```
data_EuIO
_chemical_formula_sum 'Eu2 I2 O2'
_space_group_name_H-M_alt 'P 4/n m m'
_space_group_IT_number 129
_cell_length_a 3.982
_cell_length_b 3.982
_cell_length_c 9.122
_cell_angle_alpha 90.00
_cell_angle_beta 90.00
_cell_angle_gamma 90.00
loop_
_space_group_symop_operation_xyz
'x,y,z'
'-x,-y,-z'
'-y+1/2,x,z'
'y+1/2,-x,-z'
'-x+1/2,-y+1/2,z'
'x+1/2,y+1/2,-z'
'y,-x+1/2,z'
'-y,x+1/2,-z'
'x+1/2,-y,-z'
'-x+1/2,y,z'
'-y,-x,-z'
'y,x,z'
'-x,y+1/2,-z'
'x,-y+1/2,z'
'y+1/2,x+1/2,-z'
'-y+1/2,-x+1/2,z'
loop_
_atom_site_label
_atom_site_fract_x
_atom_site_fract_y
_atom_site_fract_z
_atom_site_occupancy
Eu1 0.250 0.250 0.123 1
I1 0.250 0.250 0.668 1
O1 0.250 0.750 0.000 1
```

Output
ΔE_f (raw), eV per atom: -2.261

Record 5
DFT (GGA-PBEsol) results for an optimized crystal structure of Eu3In.

CIF file:
```
data_Eu3In
_chemical_formula_sum 'Eu6 In2'
_space_group_name_H-M_alt 'P 63/m m c'
_space_group_IT_number 194
_space_group_name_Hall '-P 6c 2c'
_cell_length_a 7.1110
_cell_length_b 7.1110
_cell_length_c 5.6208
_cell_angle_alpha 90.00
_cell_angle_beta 90.00
_cell_angle_gamma 120.00
loop_
_atom_site_label
_atom_site_fract_x
_atom_site_fract_y
_atom_site_fract_z
_atom_site_occupancy
Eu1 0.1741 0.3483 0.2500 1
In1 0.3333 0.6667 0.7500 1
```

Output
Energy of formation from the pure elements, meV/atom: -295.1

Record 6
DFT (GGA-PBEsol) results for an optimized crystal structure of EuIn4Ir.

CIF file:
```
data_EuIn4Ir
_chemical_formula_sum 'Eu4 In16 Ir4'
_space_group_name_H-M_alt 'C m c m'
_space_group_IT_number 63
_space_group_name_Hall '-C 2c 2'
_cell_length_a 4.441
_cell_length_b 16.788
_cell_length_c 7.353
_cell_angle_alpha 90.00
_cell_angle_beta 90.00
_cell_angle_gamma 90.00
loop_
_atom_site_label
_atom_site_fract_x
_atom_site_fract_y
_atom_site_fract_z
_atom_site_occupancy
Eu1 0.000 0.127 0.250 1
In1 0.000 0.067 0.750 1
In2 0.000 0.316 0.048 1
In3 0.000 0.500 0.000 1
Ir1 0.000 0.226 0.750 1
```

Output
Energy of formation from the pure elements, meV/atom: -407.5

What raw total energy values result from the calculations? In sequence: -6.293 -5.753 -7.138 -8.120 -8.963 -5.794 eV/atom.
What magnetic moment values result from the calculations? In sequence: 2.333 0.460 2.545 1.997 5.484 1.150 μB per atom.
What calculated volume values result from the calculations? In sequence: 469 751 709 145 246 548 Å³/cell.